Material: CsCdGe2
Method: DFT, PBE
State: optimized geometry

POSCAR file:
```
CsCdGe2
1.0
3.7957 0.0000 0.0000
0.0000 3.7957 0.0000
0.0000 0.0000 8.0474
Cs Cd Ge
1 1 2
direct
0.0000 0.0000 0.0000 Cs
0.0000 0.0000 0.5000 Cd
0.5000 0.5000 0.3381 Ge
0.5000 0.5000 0.6619 Ge
```

N(E_F) = 1.87 states/eV/f.u.
Symmetry = No. 123
Raw total energy = -2.666 eV per atom

Material: CrTeOs2
Method: DFT, PBE
State: optimized geometry

POSCAR file:
```
CrTeOs2
1.0
4.6046 -1.4882 0.0000
4.6046 1.4882 0.0000
-0.5321 0.0000 4.6700
Cr Te Os
1 1 2
direct
0.0000 0.0000 0.0000 Cr
0.7601 0.7601 0.2548 Te
0.2645 0.2645 0.7614 Os
0.5296 0.5296 0.5662 Os
```

N(E_F) = 3.70 states/eV/f.u.
Symmetry = No. 8
E_form (uncorrected) = 0.632 eV per atom

Material: Hf2Ag2Te6Au
Method: DFT, PBE
State: optimized geometry

POSCAR file:
```
Hf2Ag2Te6Au
1.0
3.6722 -5.7500 0.0000
3.6722 5.7500 0.0000
-2.7453 0.0000 7.3596
Hf Ag Te Au
2 2 6 1
direct
0.2136 0.7864 0.0000 Hf
0.7864 0.2136 0.0000 Hf
0.3726 0.6274 0.5000 Ag
0.6274 0.3726 0.5000 Ag
0.0088 0.3567 0.7332 Te
0.2413 0.2413 0.1742 Te
0.3567 0.0088 0.7332 Te
0.6433 0.9912 0.2668 Te
0.7587 0.7587 0.8258 Te
0.9912 0.6433 0.2668 Te
0.5000 0.5000 0.0000 Au
```

N(E_F) = 5.10 states/eV/f.u.
Symmetry = No. 12
E_form (uncorrected) = -0.354 eV per atom

Material: AcSmCuNi
Method: DFT, PBE
State: optimized geometry

POSCAR file:
```
AcSmCuNi
1.0
4.5266 0.0000 0.0000
0.0000 1.9898 5.4381
0.0000 -1.9898 5.4381
Ac Sm Cu Ni
1 1 1 1
direct
0.0000 0.0000 0.0000 Ac
0.5000 0.7234 0.7234 Sm
0.5000 0.4198 0.4198 Cu
0.0000 0.2873 0.2873 Ni
```

N(E_F) = 3.83 states/eV/f.u.
Symmetry = No. 38
Raw total energy = -4.884 eV per atom

Material: Ti8SN2
Method: DFT, PBE
State: optimized geometry

POSCAR file:
```
Ti8SN2
1.0
5.5641 -2.9882 0.0000
5.5641 2.9882 0.0000
-0.3920 0.0000 5.2211
Ti S N
8 1 2
direct
0.1511 0.1511 0.7334 Ti
0.1550 0.6779 0.7833 Ti
0.3212 0.3212 0.2272 Ti
0.3221 0.8450 0.2167 Ti
0.6779 0.1550 0.7833 Ti
0.6788 0.6788 0.7728 Ti
0.8450 0.3221 0.2167 Ti
0.8489 0.8489 0.2666 Ti
0.5000 0.5000 0.5000 S
0.3151 0.3151 0.8587 N
0.6849 0.6849 0.1413 N
```

N(E_F) = 8.70 states/eV/f.u.
Symmetry = No. 12
E_form (uncorrected) = -0.611 eV per atom

Material: Ca3PmC4O12
Method: DFT, PBE
State: optimized geometry

POSCAR file:
```
Ca3PmC4O12
1.0
5.0859 2.9363 2.9299
-5.0859 2.9363 2.9299
0.0000 -5.8727 2.9299
Ca Pm C O
3 1 4 12
direct
0.0000 0.5296 0.4704 Ca
0.4704 0.0000 0.5296 Ca
0.5296 0.4704 0.0000 Ca
0.0000 0.0000 0.0000 Pm
0.0340 0.5000 0.9660 C
0.5000 0.5000 0.5000 C
0.5000 0.9660 0.0340 C
0.9660 0.0340 0.5000 C
0.0405 0.6368 0.8462 O
0.0940 0.9060 0.5000 O
0.1538 0.3632 0.9595 O
0.3632 0.9595 0.1538 O
0.3724 0.6276 0.5000 O
0.5000 0.0940 0.9060 O
0.5000 0.3724 0.6276 O
0.6276 0.5000 0.3724 O
0.6368 0.8462 0.0405 O
0.8462 0.0405 0.6368 O
0.9060 0.5000 0.0940 O
0.9595 0.1538 0.3632 O
```

N(E_F) = 1.57 states/eV/f.u.
Symmetry = No. 155
E_form (uncorrected) = -2.157 eV per atom

Material: Dy4HoAl2
Method: DFT, PBE
State: optimized geometry

POSCAR file:
```
Dy4HoAl2
1.0
6.0105 0.0000 0.0000
0.0000 10.3271 0.0000
-2.4370 0.0000 6.3255
Dy Ho Al
8 2 4
direct
0.0038 0.1602 0.9998 Dy
0.0038 0.3398 0.4998 Dy
0.4964 0.7094 0.9988 Dy
0.4964 0.7906 0.4988 Dy
0.5036 0.2094 0.5012 Dy
0.5036 0.2906 0.0012 Dy
0.9962 0.6602 0.5002 Dy
0.9962 0.8398 0.0002 Dy
0.0000 0.0000 0.5000 Ho
0.0000 0.5000 0.0000 Ho
0.4833 0.5006 0.6828 Al
0.4833 0.9994 0.1828 Al
0.5167 0.0006 0.8172 Al
0.5167 0.4994 0.3172 Al
```

N(E_F) = 7.09 states/eV/f.u.
Symmetry = No. 14
Excess energy over the best structure of this formula in the dataset = 0.00 eV/f.u.

Material: YMnNi2
Method: DFT, PBE
State: optimized geometry

POSCAR file:
```
YMnNi2
1.0
3.3463 0.0000 0.0000
0.0000 3.3463 0.0000
0.0000 0.0000 5.8020
Y Mn Ni
1 1 2
direct
0.0000 0.0000 0.0000 Y
0.5000 0.5000 0.3488 Mn
0.0000 0.0000 0.5022 Ni
0.5000 0.5000 0.7534 Ni
```

N(E_F) = 2.60 states/eV/f.u.
Symmetry = No. 99
Excess energy over the best structure of this formula in the dataset = 1.05 eV/f.u.

no.,theoretical density (g/cm3)
1,5.59
2,14.53
3,8.20
4,8.47
5,4.24
6,3.20
7,7.35
8,6.68